Entry 1:
10
Lattice="-0.0317 2.4662 -2.2662 -5.3834 -4.9068 -5.2644 -7.1960 3.5925 4.0103" Properties=species:S:1:pos:R:3 comment="Na2TlSn2 | the Alexandria database | PBEsol | relaxed" space_group="No. 127" total_energy_ev_per_atom=-2.883 delta_e_f_ev_per_atom=-0.093 pbc="T T T"
Na -3.0438 0.3563 -2.0448
Sn -4.1131 -2.6019 -2.7739
Na -5.9474 2.7855 0.6394
Sn -3.3932 0.8359 0.9572
Tl -6.2897 -0.6571 -0.6270
Tl 0.0000 0.0000 0.0000
Na -6.6638 -1.6337 -4.1597
Na -9.5674 0.7955 -1.4755
Sn -9.1863 -2.1502 -2.2112
Sn -8.4663 1.2876 1.5198



Entry 2:
4
Lattice="5.3237 0.0000 0.0000 2.6619 4.6105 0.0000 2.6619 1.5368 4.3468" Properties=species:S:1:pos:R:3 comment="NaTl2Sn | the Alexandria database | PBEsol | relaxed" space_group="No. 225" total_energy_ev_per_atom=-2.830 delta_e_f_ev_per_atom=-0.100 pbc="T T T"
Tl 2.6619 1.5368 1.0867
Sn 5.3237 3.0737 2.1734
Tl 7.9856 4.6105 3.2601
Na 0.0000 0.0000 0.0000



Entry 3:
5
Lattice="-1.4889 -1.7437 5.1060 3.5704 -4.2897 -0.4238 4.0452 3.1444 2.2534" Properties=species:S:1:pos:R:3 comment="Na3TlSn | the Alexandria database | PBEsol | relaxed" space_group="No. 221" total_energy_ev_per_atom=-1.866 delta_e_f_ev_per_atom=0.351 pbc="T T T"
Na 1.7852 -2.1448 -0.2119
Na 2.0226 1.5722 1.1267
Na -0.7445 -0.8719 2.5530
Sn 3.0633 -1.4445 3.4678
Tl 0.0000 0.0000 0.0000



Entry 4:
6
Lattice="5.3353 0.0000 0.0000 -2.6677 4.6205 0.0000 0.0000 0.0000 6.3028" Properties=species:S:1:pos:R:3 comment="NaYSn | the Alexandria database | PBEsol | relaxed" space_group="No. 194" total_energy_ev_per_atom=-4.688 delta_e_f_ev_per_atom=-0.527 pbc="T T T"
Y 0.0000 3.0804 1.5757
Na 0.0000 0.0000 3.1514
Y 2.6677 1.5402 4.7271
Sn 0.0000 3.0804 4.7271
Na 0.0000 0.0000 0.0000
Sn 2.6677 1.5402 1.5757



Entry 5:
5
Lattice="-3.5199 1.5191 -1.3516 -2.0142 -2.9751 1.9016 2.3022 4.5934 5.2801" Properties=species:S:1:pos:R:3 comment="Na2Zn2Sn | the Alexandria database | PBEsol | relaxed" space_group="No. 139" total_energy_ev_per_atom=-1.841 delta_e_f_ev_per_atom=0.204 e_above_lowest_polymorph_ev_per_atom=0.223 pbc="T T T"
Zn -2.8505 -0.0335 1.2730
Zn -0.3813 3.1710 4.5571
Na -1.2395 0.4452 3.7283
Sn 0.0000 0.0000 0.0000
Na -1.9924 2.6923 2.1017



Entry 6:
10
Lattice="4.8934 0.0000 0.0000 0.0000 6.8465 0.0000 0.0000 0.0000 6.8465" Properties=species:S:1:pos:R:3 comment="Na2Zn2Sn | the Alexandria database | PBEsol | relaxed" space_group="No. 127" total_energy_ev_per_atom=-2.064 delta_e_f_ev_per_atom=-0.020 e_above_lowest_polymorph_ev_per_atom=0.000 pbc="T T T"
Zn 0.0000 4.2833 0.8600
Na 2.4467 4.6483 5.6215
Na 2.4467 2.1982 1.2250
Zn 0.0000 5.9865 4.2833
Na 2.4467 1.2250 4.6483
Sn 0.0000 0.0000 0.0000
Na 2.4467 5.6215 2.1982
Zn 0.0000 0.8600 2.5633
Zn 0.0000 2.5633 5.9865
Sn 0.0000 3.4233 3.4233



Entry 7:
8
Lattice="-0.9565 3.4403 -5.6791 3.6048 -6.0174 -4.2523 -8.1026 -0.1593 1.2682" Properties=species:S:1:pos:R:3 comment="NaSr3 | the Alexandria database | PBEsol | relaxed" space_group="No. 194" total_energy_ev_per_atom=-1.685 delta_e_f_ev_per_atom=0.045 pbc="T T T"
Sr -4.5880 -3.2823 -3.1966
Sr 0.9343 -2.4599 -7.5907
Na -4.9175 0.4682 -4.8313
Sr -3.1131 -2.5395 -6.9572
Sr -0.8664 0.5459 -5.4666
Sr -2.3412 -0.1969 -1.7060
Na -0.5368 -3.2046 -3.8319
Sr -6.3886 -0.2765 -1.0725



Entry 8:
5
Lattice="5.0322 0.0000 0.0000 0.0000 5.0322 0.0000 0.0000 0.0000 5.1143" Properties=species:S:1:pos:R:3 comment="NaSrTa2Te | the Alexandria database | PBEsol | relaxed" space_group="No. 123" total_energy_ev_per_atom=-4.086 e_form_raw_ev_per_atom=2.29 pbc="T T T"
Te 2.5161 2.5161 2.5572
Ta 2.5161 0.0000 0.0000
Na 0.0000 0.0000 2.5572
Ta 0.0000 2.5161 0.0000
Sr 0.0000 0.0000 0.0000